1.
Entry from OQMD via LeMat-Bulk: crystalline Hf2Sc at its relaxed geometry (PBE).

a = 5.8487 Å, b = 5.8487 Å, c = 5.8487 Å
α = 60.00°, β = 60.00°, γ = 60.00°
Closest atoms and distances in Å follow each position.
Fractional positions:
Hf: 0.0000 0.0000 0.0000  6 Hf 2.92
Hf: 0.0000 0.0000 0.5000  6 Hf 2.92
Hf: 0.0000 0.5000 0.0000  6 Hf 2.92
Hf: 0.5000 0.0000 0.0000  6 Hf 2.92
Sc: 0.3750 0.3750 0.3750  12 Hf 3.43, 4 Sc 3.58
Sc: 0.6250 0.6250 0.6250  12 Hf 3.43, 4 Sc 3.58

calculated formation energy: 338 meV/atom
spin magnetization: 1.7 μB/f.u.
relative energy among the computed polymorphs: 0.000 eV/atom
calculated total energy: -50.4 eV per cell
density: 9436 kg/m3



2.
Entry from OQMD via LeMat-Bulk: crystalline Gd2TmMg3InGa2 at its relaxed geometry (PBE).

a = 4.5593 Å, b = 7.3165 Å, c = 7.3165 Å
α = 119.58°, β = 90.00°, γ = 90.00°
Closest atoms and distances in Å follow each position.
Fractional positions:
Gd: 0.0000 0.2187 0.7813  4 Ga 3.15-3.16, 1 In 3.22, 2 Mg 3.23
Gd: 0.0000 0.7813 0.2187  4 Ga 3.15-3.16, 1 In 3.22, 2 Mg 3.23
Tm: 0.0000 0.3442 0.3442  4 Ga 3.12, 1 In 3.19, 2 Mg 3.24
Mg: 0.5000 0.0310 0.0310  2 Ga 2.78, 2 In 2.95
Mg: 0.5000 0.5308 0.7800  2 Ga 2.80-2.82, 2 In 2.91
Mg: 0.5000 0.7800 0.5308  2 Ga 2.80-2.82, 2 In 2.91
In: 0.0000 0.7772 0.7772  6 Mg 2.91-2.95, 1 Tm 3.19, 2 Gd 3.22
Ga: 0.5000 0.1162 0.4460  3 Mg 2.78-2.82
Ga: 0.5000 0.4460 0.1162  3 Mg 2.78-2.82

spin magnetization: 0.0 μB/f.u.
calculated total energy: -31.4 eV per cell
density: 6342 kg/m3



3.
Entry from OQMD via LeMat-Bulk: crystalline LuSiH2O4 at its relaxed geometry (PBE).

a = 4.9394 Å, b = 5.5520 Å, c = 6.8941 Å
α = 90.00°, β = 108.23°, γ = 90.00°
Closest atoms and distances in Å follow each position.
Fractional positions:
Lu: 0.9997 0.2500 0.2386  4 O 2.18-2.28
Lu: 0.0003 0.7500 0.7614  4 O 2.18-2.28
Si: 0.2671 0.2500 0.6903  4 O 1.63-1.67
Si: 0.7329 0.7500 0.3097  4 O 1.63-1.67
H: 0.3792 0.7500 0.4768  1 O 1.03
H: 0.5000 0.0000 0.0000  2 O 1.20
H: 0.5000 0.5000 0.0000  2 O 1.20
H: 0.6208 0.2500 0.5232  1 O 1.03
O: 0.0668 0.7500 0.4490  1 H 1.49, 1 Si 1.63
O: 0.3547 0.0032 0.8248  1 H 1.20
O: 0.3547 0.4968 0.8248  1 H 1.20
O: 0.4034 0.2500 0.4974  1 H 1.03
O: 0.5966 0.7500 0.5026  1 H 1.03
O: 0.6453 0.5032 0.1752  1 H 1.20
O: 0.6453 0.9968 0.1752  1 H 1.20
O: 0.9332 0.2500 0.5510  1 H 1.49, 1 Si 1.63

spin magnetization: 0.0 μB/f.u.
relative energy among the computed polymorphs: 0.019 eV/atom
calculated total energy: -105.0 eV per cell
density: 4976 kg/m3



4.
Entry from OQMD via LeMat-Bulk: crystalline Nd2Tm2CF5 at its relaxed geometry (PBE).

a = 7.6256 Å, b = 7.6256 Å, c = 7.2447 Å
α = 107.75°, β = 107.75°, γ = 26.60°
Closest atoms and distances in Å follow each position.
Fractional positions:
Nd: 0.0001 0.0001 0.2426  2 C 2.48, 4 F 2.56-2.62
Nd: 0.9999 0.9999 0.7574  2 C 2.48, 4 F 2.56-2.62
Tm: 0.3369 0.3369 0.8880  5 F 2.22-2.38, 1 C 2.30
Tm: 0.6631 0.6631 0.1120  5 F 2.22-2.38, 1 C 2.30
C: 0.5000 0.5000 0.0000  2 Tm 2.30, 4 Nd 2.48
F: 0.1813 0.1813 0.9141  3 Tm 2.33-2.38, 1 Nd 2.57
F: 0.1839 0.1839 0.3097  2 Tm 2.22
F: 0.5000 0.5000 0.5000  4 Nd 2.56
F: 0.8161 0.8161 0.6903  2 Tm 2.22
F: 0.8187 0.8187 0.0859  3 Tm 2.33-2.38, 1 Nd 2.57

spin magnetization: 0.0 μB/f.u.
calculated total energy: -63.5 eV per cell
density: 6798 kg/m3



5.
Entry from OQMD via LeMat-Bulk: crystalline BaCd2SnPb at its relaxed geometry (PBE).

a = 5.0050 Å, b = 5.0050 Å, c = 12.3966 Å
α = 90.00°, β = 90.00°, γ = 90.00°
Closest atoms and distances in Å follow each position.
Fractional positions:
Ba: 0.2500 0.2500 0.2393  4 Sn 3.79, 8 Cd 3.83-3.88, 4 Pb 4.09
Ba: 0.7500 0.7500 0.7607  4 Sn 3.79, 8 Cd 3.83-3.88, 4 Pb 4.09
Cd: 0.2500 0.2500 0.6429  1 Sn 2.82, 4 Pb 3.07
Cd: 0.2500 0.7500 0.0000  4 Sn 2.98
Cd: 0.7500 0.2500 0.0000  4 Sn 2.98
Cd: 0.7500 0.7500 0.3571  1 Sn 2.82, 4 Pb 3.07
Sn: 0.2500 0.2500 0.8701  5 Cd 2.82-2.98
Sn: 0.7500 0.7500 0.1299  5 Cd 2.82-2.98
Pb: 0.2500 0.7500 0.5000  4 Cd 3.07
Pb: 0.7500 0.2500 0.5000  4 Cd 3.07

relative energy among the computed polymorphs: 0.000 eV/atom
calculated total energy: -26.7 eV per cell
density: 7359 kg/m3



6.
Entry from OQMD via LeMat-Bulk: crystalline Ho3Si13Os4 at its relaxed geometry (PBE).

a = 8.7872 Å, b = 8.7872 Å, c = 8.7872 Å
α = 90.00°, β = 90.00°, γ = 90.00°
Closest atoms and distances in Å follow each position.
Fractional positions:
Ho: 0.0000 0.2500 0.5000  4 Os 3.11, 12 Si 3.16-3.19
Ho: 0.0000 0.7500 0.5000  4 Os 3.11, 12 Si 3.16-3.19
Ho: 0.2500 0.5000 0.0000  4 Os 3.11, 12 Si 3.16-3.19
Ho: 0.5000 0.0000 0.2500  4 Os 3.11, 12 Si 3.16-3.19
Ho: 0.5000 0.0000 0.7500  4 Os 3.11, 12 Si 3.16-3.19
Ho: 0.7500 0.5000 0.0000  4 Os 3.11, 12 Si 3.16-3.19
Si: 0.0000 0.0000 0.0000  12 Si 2.76
Si: 0.0000 0.2818 0.1382  2 Os 2.42, 1 Si 2.43
Si: 0.0000 0.2818 0.8618  2 Os 2.42, 1 Si 2.43
Si: 0.0000 0.7182 0.1382  2 Os 2.42, 1 Si 2.43
Si: 0.0000 0.7182 0.8618  2 Os 2.42, 1 Si 2.43
Si: 0.1382 0.0000 0.2818  2 Os 2.42, 1 Si 2.43
Si: 0.1382 0.0000 0.7182  2 Os 2.42, 1 Si 2.43
Si: 0.2182 0.5000 0.3618  2 Os 2.42, 1 Si 2.43
Si: 0.2182 0.5000 0.6382  2 Os 2.42, 1 Si 2.43
Si: 0.2818 0.1382 0.0000  2 Os 2.42, 1 Si 2.43
Si: 0.2818 0.8618 0.0000  2 Os 2.42, 1 Si 2.43
Si: 0.3618 0.2182 0.5000  2 Os 2.42, 1 Si 2.43
Si: 0.3618 0.7818 0.5000  2 Os 2.42, 1 Si 2.43
Si: 0.5000 0.3618 0.2182  2 Os 2.42, 1 Si 2.43
Si: 0.5000 0.3618 0.7818  2 Os 2.42, 1 Si 2.43
Si: 0.5000 0.5000 0.5000  12 Si 2.76
Si: 0.5000 0.6382 0.2182  2 Os 2.42, 1 Si 2.43
Si: 0.5000 0.6382 0.7818  2 Os 2.42, 1 Si 2.43
Si: 0.6382 0.2182 0.5000  2 Os 2.42, 1 Si 2.43
Si: 0.6382 0.7818 0.5000  2 Os 2.42, 1 Si 2.43
Si: 0.7182 0.1382 0.0000  2 Os 2.42, 1 Si 2.43
Si: 0.7182 0.8618 0.0000  2 Os 2.42, 1 Si 2.43
Si: 0.7818 0.5000 0.3618  2 Os 2.42, 1 Si 2.43
Si: 0.7818 0.5000 0.6382  2 Os 2.42, 1 Si 2.43
Si: 0.8618 0.0000 0.2818  2 Os 2.42, 1 Si 2.43
Si: 0.8618 0.0000 0.7182  2 Os 2.42, 1 Si 2.43
Os: 0.2500 0.2500 0.2500  6 Si 2.42
Os: 0.2500 0.2500 0.7500  6 Si 2.42
Os: 0.2500 0.7500 0.2500  6 Si 2.42
Os: 0.2500 0.7500 0.7500  6 Si 2.42
Os: 0.7500 0.2500 0.2500  6 Si 2.42
Os: 0.7500 0.2500 0.7500  6 Si 2.42
Os: 0.7500 0.7500 0.2500  6 Si 2.42
Os: 0.7500 0.7500 0.7500  6 Si 2.42

spin magnetization: 0.0 μB/f.u.
calculated total energy: -276.6 eV per cell
density: 7933 kg/m3



Question: Look up the density of the fifth one.
Answer: 7359 kg/m3



Question: Which formula does entry 5 have?
Answer: BaCd2SnPb